# CdSiAg2TeS3, relaxed, DFT PBE-GGA
data_CdSiAg2TeS3
_chemical_formula_sum 'Cd1 Si1 Ag2 Te1 S3'
_cell_length_a 5.769
_cell_length_b 5.769
_cell_length_c 7.199
_cell_angle_alpha 113.91
_cell_angle_beta 113.91
_cell_angle_gamma 88.11
_space_group_name_H-M_alt 'P 1'
_space_group_IT_number 1
loop_
_space_group_symop_operation_xyz
'x,y,z'
loop_
_atom_site_label
_atom_site_type_symbol
_atom_site_fract_x
_atom_site_fract_y
_atom_site_fract_z
Cd1 Cd 0.998 0.998 0.010
Si1 Si 0.521 0.521 0.017
S1 S 0.834 0.401 0.234
S2 S 0.622 0.622 0.801
S3 S 0.401 0.834 0.234
Ag1 Ag 0.270 0.701 0.480
Ag2 Ag 0.701 0.270 0.480
Te1 Te 0.152 0.152 0.746
# E = -0.140 Ha/atom
# symmetry = Cm (8)